Entry 1:
This record from Alexandria via LeMat-Bulk describes ScReCl after structural relaxation. The functional is GGA-PBE.

Cell lengths 3.3459, 4.7802, 15.5869 Å; angles 90.00, 90.00, 90.00 degrees
Space group Fmm2 (No. 42)
Asymmetric unit:
Sc: 0.0000 0.0000 0.0000 (multiplicity 4)
Re: 0.0000 0.0000 0.6347 (multiplicity 4)
Cl: 0.0000 0.0000 0.3814 (multiplicity 4)

Output
Total magnetic moment (μB/atom): 0.00
E_form (uncorrected) (meV/atom): -100
Total DFT energy (no corrections) (eV per atom): -6.975
Relative energy among the computed polymorphs (eV per atom): 0.040

=====

Entry 2:
This record from Alexandria via LeMat-Bulk describes ScRe2Cl after structural relaxation. The functional is GGA-PBE.

Cell lengths 7.7860, 3.1541, 8.0935 Å; angles 90.00, 117.74, 90.00 degrees
Space group Cm (No. 8)
Asymmetric unit:
Sc: 0.0000 0.0000 0.0000 (multiplicity 2)
Re: 0.1649 0.0000 0.7673 (multiplicity 2)
Re: 0.3933 0.0000 0.6379 (multiplicity 2)
Cl: 0.1949 0.5000 0.2762 (multiplicity 2)

Output
Total magnetic moment (μB/atom): 0.00
E_form (uncorrected) (meV/atom): 6
Total DFT energy (no corrections) (eV per atom): -8.263
Relative energy among the computed polymorphs (eV per atom): 0.268

=====

Entry 3:
This record from Alexandria via LeMat-Bulk describes ScReCl2 after structural relaxation. The functional is GGA-PBE.

Cell lengths 3.0429, 3.0429, 8.7637 Å; angles 90.00, 90.00, 90.00 degrees
Space group P4mm (No. 99)
Asymmetric unit:
Sc: 0.0000 0.0000 0.0000 (multiplicity 1)
Re: 0.5000 0.5000 0.7702 (multiplicity 1)
Cl: 0.0000 0.0000 0.5969 (multiplicity 1)
Cl: 0.5000 0.5000 0.1858 (multiplicity 1)

Output
Total magnetic moment (μB/atom): 0.00
E_form (uncorrected) (meV/atom): -397
Total DFT energy (no corrections) (eV per atom): -6.015
Relative energy among the computed polymorphs (eV per atom): 0.125

=====

Entry 4:
This record from Alexandria via LeMat-Bulk describes ScReCl2 after structural relaxation. The functional is GGA-PBE.

Cell lengths 3.0540, 3.0540, 25.4482 Å; angles 90.00, 90.00, 120.00 degrees
Space group R-3m (No. 166, hexagonal axes)
Asymmetric unit:
Sc: 0.0000 0.0000 0.0000 (multiplicity 3)
Re: 0.0000 0.0000 0.5000 (multiplicity 3)
Cl: 0.0000 0.0000 0.4067 (multiplicity 6)

Output
Total magnetic moment (μB/atom): 0.00
E_form (uncorrected) (meV/atom): -252
Total DFT energy (no corrections) (eV per atom): -5.870
Relative energy among the computed polymorphs (eV per atom): 0.269

=====

Entry 5:
This record from Alexandria via LeMat-Bulk describes ScRe2Cl after structural relaxation. The functional is GGA-PBE.

Cell lengths 2.9978, 2.9978, 28.8521 Å; angles 90.00, 90.00, 120.00 degrees
Space group R3m (No. 160, hexagonal axes)
Asymmetric unit:
Sc: 0.0000 0.0000 0.0000 (multiplicity 3)
Re: 0.0000 0.0000 0.2550 (multiplicity 3)
Re: 0.0000 0.0000 0.5198 (multiplicity 3)
Cl: 0.0000 0.0000 0.7298 (multiplicity 3)

Output
Total magnetic moment (μB/atom): 0.00
E_form (uncorrected) (meV/atom): -96
Total DFT energy (no corrections) (eV per atom): -8.364
Relative energy among the computed polymorphs (eV per atom): 0.166

=====

Entry 6:
This record from Alexandria via LeMat-Bulk describes ScReCl2 after structural relaxation. The functional is GGA-PBE.

Cell lengths 4.3551, 4.3551, 3.3068 Å; angles 90.00, 90.00, 90.00 degrees
Space group P4/mmm (No. 123)
Asymmetric unit:
Sc: 0.0000 0.0000 0.0000 (multiplicity 1)
Re: 0.5000 0.5000 0.0000 (multiplicity 1)
Cl: 0.0000 0.5000 0.5000 (multiplicity 2)

Output
Total magnetic moment (μB/atom): 0.00
E_form (uncorrected) (meV/atom): 298
Total DFT energy (no corrections) (eV per atom): -5.321
Relative energy among the computed polymorphs (eV per atom): 0.819

=====

Entry 7:
This record from Alexandria via LeMat-Bulk describes ScReCl after structural relaxation. The functional is GGA-PBE.

Cell lengths 4.4334, 4.4334, 2.9605 Å; angles 90.00, 90.00, 120.00 degrees
Space group P-6m2 (No. 187)
Asymmetric unit:
Sc: 0.0000 0.0000 0.0000 (multiplicity 1)
Re: 0.6667 0.3333 0.5000 (multiplicity 1)
Cl: 0.3333 0.6667 0.5000 (multiplicity 1)

Output
Total magnetic moment (μB/atom): 0.00
E_form (uncorrected) (meV/atom): 274
Total DFT energy (no corrections) (eV per atom): -6.602
Relative energy among the computed polymorphs (eV per atom): 0.413

=====

Entry 8:
This record from Alexandria via LeMat-Bulk describes Sc2ReCl after structural relaxation. The functional is GGA-PBE.

Cell lengths 7.2386, 7.0563, 3.0433 Å; angles 90.00, 104.94, 90.00 degrees
Space group C2/m (No. 12)
Asymmetric unit:
Sc: 0.2500 0.2500 0.0000 (multiplicity 4)
Re: 0.0000 0.0000 0.5000 (multiplicity 2)
Cl: 0.0000 0.5000 0.5000 (multiplicity 2)

Output
Total magnetic moment (μB/atom): 0.00
E_form (uncorrected) (meV/atom): -293
Total DFT energy (no corrections) (eV per atom): -7.032
Relative energy among the computed polymorphs (eV per atom): 0.426